Entry 1:
! SnCCl3 | Alexandria | GGA-PBE | optimized geometry; values from VASP
&SYSTEM
  ibrav = 0, nat = 5, ntyp = 3
/
ATOMIC_SPECIES
Cl 35.45 Cl.upf
C 12.01 C.upf
Sn 118.71 Sn.upf
ATOMIC_POSITIONS crystal
Cl 0.684 0.024 0.679
Cl 0.458 0.458 0.530
Cl 0.024 0.684 0.679
C 0.961 0.961 0.773
Sn 0.811 0.811 0.371
CELL_PARAMETERS angstrom
-5.490 -4.292 2.406
7.105 -1.399 1.380
0.105 0.871 3.753
! - formation energy (no corrections) (eV/atom) = 0.39
! - energy above the lowest structure with this stoichiometry (eV per atom) = 0.0000
! - density (g/cm³) = 2.39
! - space-group type = Cm (8)

Entry 2:
! TePI2N | Alexandria | GGA-PBE | optimized geometry; values from VASP
&SYSTEM
  ibrav = 0, nat = 5, ntyp = 4
/
ATOMIC_SPECIES
P 30.97 P.upf
Te 127.60 Te.upf
I 126.90 I.upf
N 14.01 N.upf
ATOMIC_POSITIONS crystal
P 0.000 0.000 0.000
Te 0.500 0.500 0.500
I 0.500 0.000 0.000
I 0.000 0.500 0.000
N 0.000 0.000 0.500
CELL_PARAMETERS angstrom
6.339 0.000 0.000
0.000 6.339 0.000
0.000 0.000 3.318
! - formation energy (no corrections) (eV/atom) = 0.64
! - energy above the lowest structure with this stoichiometry (eV per atom) = 0.0000
! - density (g/cm³) = 5.31
! - space-group type = P4/mmm (123)

Entry 3:
! VPtW | Alexandria | GGA-PBE | optimized geometry; values from VASP
&SYSTEM
  ibrav = 0, nat = 12, ntyp = 3
/
ATOMIC_SPECIES
Pt 195.08 Pt.upf
V 50.94 V.upf
W 183.84 W.upf
ATOMIC_POSITIONS crystal
Pt 0.816 0.692 0.930
Pt 0.316 0.808 0.430
Pt 0.684 0.192 0.570
Pt 0.184 0.308 0.070
V 0.778 0.008 0.249
V 0.278 0.492 0.749
V 0.722 0.508 0.251
V 0.222 0.992 0.751
W 0.181 0.315 0.417
W 0.819 0.685 0.583
W 0.319 0.815 0.083
W 0.681 0.185 0.917
CELL_PARAMETERS angstrom
4.583 0.000 0.387
0.000 5.334 0.000
-0.972 0.000 7.503
! - energy above the lowest structure with this stoichiometry (eV per atom) = 0.0000
! - formation enthalpy at 0 K (eV per atom) = -0.043
! - density (g/cm³) = 15.40
! - space-group type = P2_1/c (14)

Entry 4:
! Y2InF | Alexandria | GGA-PBE | optimized geometry; values from VASP
&SYSTEM
  ibrav = 0, nat = 4, ntyp = 3
/
ATOMIC_SPECIES
In 114.82 In.upf
Y 88.91 Y.upf
F 19.00 F.upf
ATOMIC_POSITIONS crystal
In 0.500 0.500 0.500
Y 0.750 0.750 0.750
Y 0.250 0.250 0.250
F 0.000 0.000 0.000
CELL_PARAMETERS angstrom
2.889 -2.313 3.597
-2.188 -3.214 3.393
0.912 -5.071 -0.291
! - formation energy (no corrections) (eV/atom) = -0.99
! - energy above the lowest structure with this stoichiometry (eV per atom) = 0.3425
! - density (g/cm³) = 5.33
! - space-group type = Fm-3m (225)

Entry 5:
! BaPuAg4 | Alexandria | GGA-PBE | optimized geometry; values from VASP
&SYSTEM
  ibrav = 0, nat = 6, ntyp = 3
/
ATOMIC_SPECIES
Ba 137.33 Ba.upf
Pu 244.00 Pu.upf
Ag 107.87 Ag.upf
ATOMIC_POSITIONS crystal
Ba 0.000 0.000 0.000
Pu 0.250 0.250 0.250
Ag 0.624 0.624 0.624
Ag 0.624 0.624 0.128
Ag 0.128 0.624 0.624
Ag 0.624 0.128 0.624
CELL_PARAMETERS angstrom
5.917 0.000 0.000
2.959 5.125 0.000
2.959 1.708 4.832
! - formation enthalpy at 0 K (eV per atom) = 0.029
! - density (g/cm³) = 9.21
! - space-group type = F-43m (216)

Entry 6:
! CsTlInAs | Alexandria | GGA-PBE | optimized geometry; values from VASP
&SYSTEM
  ibrav = 0, nat = 8, ntyp = 4
/
ATOMIC_SPECIES
Tl 204.38 Tl.upf
In 114.82 In.upf
Cs 132.91 Cs.upf
As 74.92 As.upf
ATOMIC_POSITIONS crystal
Tl 0.750 0.250 0.500
Tl 0.250 0.750 0.500
In 0.250 0.750 0.000
In 0.750 0.250 0.000
Cs 0.750 0.750 0.246
Cs 0.250 0.250 0.754
As 0.750 0.750 0.893
As 0.250 0.250 0.107
CELL_PARAMETERS angstrom
-2.783 0.115 -3.872
2.575 -3.507 -1.955
-8.566 -9.564 5.871
! - formation enthalpy at 0 K (eV per atom) = -0.204
! - density (g/cm³) = 5.45
! - space-group type = P4/nmm (129)

Entry 7:
! BaLaY2Ir | Alexandria | GGA-PBE | optimized geometry; values from VASP
&SYSTEM
  ibrav = 0, nat = 5, ntyp = 4
/
ATOMIC_SPECIES
Ba 137.33 Ba.upf
Ir 192.22 Ir.upf
Y 88.91 Y.upf
La 138.91 La.upf
ATOMIC_POSITIONS crystal
Ba 0.500 0.500 0.500
Ir 0.000 0.000 0.000
Y 0.000 0.500 0.000
Y 0.500 0.000 0.000
La 0.000 0.000 0.500
CELL_PARAMETERS angstrom
5.660 0.000 0.000
0.000 5.660 0.000
0.000 0.000 5.638
! - formation enthalpy at 0 K (eV per atom) = -0.323
! - density (g/cm³) = 5.94
! - space-group type = P4/mmm (123)

Entry 8:
! NaZrIr2 | Alexandria | GGA-PBE | optimized geometry; values from VASP
&SYSTEM
  ibrav = 0, nat = 8, ntyp = 3
/
ATOMIC_SPECIES
Zr 91.22 Zr.upf
Na 22.99 Na.upf
Ir 192.22 Ir.upf
ATOMIC_POSITIONS crystal
Zr 0.000 0.000 0.000
Zr 0.750 0.250 0.500
Na 0.500 0.500 0.000
Na 0.250 0.750 0.500
Ir 0.648 0.125 0.250
Ir 0.875 0.898 0.750
Ir 0.375 0.352 0.750
Ir 0.102 0.625 0.250
CELL_PARAMETERS angstrom
-5.928 3.249 2.977
0.255 -4.729 5.669
-1.167 1.026 5.721
! - formation enthalpy at 0 K (eV per atom) = 0.243
! - density (g/cm³) = 10.82
! - space-group type = I-42d (122)

Entry 9:
! La5Nd | Alexandria | GGA-PBE | optimized geometry; values from VASP
&SYSTEM
  ibrav = 0, nat = 12, ntyp = 2
/
ATOMIC_SPECIES
Nd 144.24 Nd.upf
La 138.91 La.upf
ATOMIC_POSITIONS crystal
Nd 0.250 0.376 0.750
Nd 0.750 0.624 0.250
La 0.750 0.124 0.917
La 0.250 0.374 0.082
La 0.250 0.876 0.417
La 0.750 0.124 0.583
La 0.750 0.126 0.250
La 0.250 0.374 0.418
La 0.750 0.626 0.582
La 0.750 0.626 0.918
La 0.250 0.876 0.083
La 0.250 0.874 0.750
CELL_PARAMETERS angstrom
-0.423 5.140 1.151
-5.844 0.528 -4.505
-6.765 -2.458 8.488
! - formation enthalpy at 0 K (eV per atom) = 0.007
! - density (g/cm³) = 6.40
! - space-group type = Pmmn (59)

Entry 10:
! PuGaPd2 | Alexandria | GGA-PBE | optimized geometry; values from VASP
&SYSTEM
  ibrav = 0, nat = 4, ntyp = 3
/
ATOMIC_SPECIES
Ga 69.72 Ga.upf
Pd 106.42 Pd.upf
Pu 244.00 Pu.upf
ATOMIC_POSITIONS crystal
Ga 0.500 0.500 0.000
Pd 0.000 0.000 0.801
Pd 0.000 0.000 0.199
Pu 0.500 0.500 0.500
CELL_PARAMETERS angstrom
3.095 0.000 0.000
0.000 3.095 0.000
0.000 0.000 7.461
! - formation enthalpy at 0 K (eV per atom) = -0.494
! - density (g/cm³) = 12.23
! - space-group type = P4/mmm (123)

Entry 11:
! Na2PdAuCl6 | Alexandria | GGA-PBE | optimized geometry; values from VASP
&SYSTEM
  ibrav = 0, nat = 10, ntyp = 4
/
ATOMIC_SPECIES
Cl 35.45 Cl.upf
Na 22.99 Na.upf
Pd 106.42 Pd.upf
Au 196.97 Au.upf
ATOMIC_POSITIONS crystal
Cl 0.093 0.449 0.772
Cl 0.697 0.067 0.744
Cl 0.417 0.661 0.806
Cl 0.586 0.199 0.246
Cl 0.945 0.595 0.297
Cl 0.227 0.994 0.230
Na 0.016 0.009 0.944
Na 0.530 0.536 0.431
Pd 0.326 0.325 0.021
Au 0.824 0.825 0.525
CELL_PARAMETERS angstrom
-4.251 -1.241 -5.348
-3.527 -5.777 -0.233
-6.739 0.295 2.007
! - formation energy (no corrections) (eV/atom) = -0.90
! - density (g/cm³) = 3.70
! - space-group type = P1 (1)

Entry 12:
! Fe2HgIr | Alexandria | GGA-PBE | optimized geometry; values from VASP
&SYSTEM
  ibrav = 0, nat = 4, ntyp = 3
/
ATOMIC_SPECIES
Ir 192.22 Ir.upf
Fe 55.84 Fe.upf
Hg 200.59 Hg.upf
ATOMIC_POSITIONS crystal
Ir 0.750 0.750 0.750
Fe 0.006 0.006 0.006
Fe 0.494 0.494 0.494
Hg 0.250 0.250 0.250
CELL_PARAMETERS angstrom
-0.250 -6.464 6.310
2.493 -5.846 6.424
0.646 -4.328 7.907
! - formation enthalpy at 0 K (eV per atom) = 0.328
! - density (g/cm³) = 13.75
! - space-group type = R-3m (166)

| no. | DFT total energy (eV/cell) |
| --- | --- |
| 1 | -16.82 |
| 2 | -16.77 |
| 3 | -112.96 |
| 4 | -21.52 |
| 5 | -27.48 |
| 6 | -22.85 |
| 7 | -30.25 |
| 8 | -53.23 |
| 9 | -58.72 |
| 10 | -29.72 |
| 11 | -31.15 |
| 12 | -24.77 |